1.
# AcMg2BiN, relaxed, DFT PBE-GGA
data_AcMg2BiN
_cell_length_a 4.159
_cell_length_b 13.596
_cell_length_c 8.250
_cell_angle_alpha 90.00
_cell_angle_beta 90.00
_cell_angle_gamma 90.00
_space_group_name_H-M_alt 'C m c m'
_space_group_IT_number 63
_space_group_name_Hall '-C 2c 2'
loop_
_atom_site_label
_atom_site_type_symbol
_atom_site_fract_x
_atom_site_fract_y
_atom_site_fract_z
Ac1 Ac 0.000 0.026 0.250
Mg1 Mg 0.000 0.354 0.050
Bi1 Bi 0.000 0.242 0.750
N1 N 0.000 0.500 0.000
# formation energy without anion corrections: -48.69 kJ per mole of atoms
# magnetization: 0.00 μB per formula unit

2.
# Mg3CrCl8, relaxed, DFT PBE-GGA
data_Mg3CrCl8
_cell_length_a 7.3542
_cell_length_b 7.3542
_cell_length_c 11.7177
_cell_angle_alpha 90.00
_cell_angle_beta 90.00
_cell_angle_gamma 120.00
_space_group_name_H-M_alt 'P 63 m c'
_space_group_IT_number 186
_space_group_name_Hall 'P 6c -2c'
loop_
_atom_site_label
_atom_site_type_symbol
_atom_site_fract_x
_atom_site_fract_y
_atom_site_fract_z
Mg1 Mg 0.1685 0.3370 0.0000
Cr1 Cr 0.3333 0.6667 0.2631
Cl1 Cl 0.0000 0.0000 0.1104
Cl2 Cl 0.0246 0.5123 0.1287
Cl3 Cl 0.1666 0.3333 0.3825
Cl4 Cl 0.3333 0.6667 0.8833
# formation energy without anion corrections: -153.28 kJ per mole of atoms
# magnetization: 4.00 μB per formula unit

3.
# Ba2LiCdAg6, relaxed, DFT PBE-GGA
data_Ba2LiCdAg6
_cell_length_a 7.021
_cell_length_b 7.270
_cell_length_c 7.294
_cell_angle_alpha 61.59
_cell_angle_beta 61.24
_cell_angle_gamma 61.16
_space_group_name_H-M_alt 'P -1'
_space_group_IT_number 2
_space_group_name_Hall '-P 1'
loop_
_atom_site_label
_atom_site_type_symbol
_atom_site_fract_x
_atom_site_fract_y
_atom_site_fract_z
Ba1 Ba 0.214 0.286 0.287
Li1 Li 0.000 0.000 0.000
Cd1 Cd 0.500 0.500 0.500
Ag1 Ag 0.233 0.767 0.767
Ag2 Ag 0.289 0.190 0.810
Ag3 Ag 0.292 0.811 0.188
# formation energy from the elements: -81 meV per atom
# magnetization: 0.00 μB per formula unit

no.,final energy (eV per atom)
1,-4.41
2,-4.02
3,-2.46